Here is a geometry-optimized AcSc4Co3O12 structure from Alexandria via LeMat-Bulk. Energies are from GGA+U.

CIF file:
```
data_AcSc4Co3O12
_cell_length_a 7.770
_cell_length_b 7.770
_cell_length_c 7.770
_cell_angle_alpha 90.00
_cell_angle_beta 90.00
_cell_angle_gamma 90.00
_symmetry_space_group_name_H-M 'I m -3'
_symmetry_Int_Tables_number 204
_symmetry_space_group_name_Hall '-I 2 2 3'
loop_
_atom_site_label
_atom_site_type_symbol
_atom_site_fract_x
_atom_site_fract_y
_atom_site_fract_z
_atom_site_occupancy
Ac1 Ac 0.000 0.000 0.000 1
Sc1 Sc 0.250 0.250 0.250 1
Co1 Co 0.000 0.000 0.500 1
O1 O 0.000 0.163 0.316 1
```

Computed properties:
Magnetization: 6.0 μB per formula unit
E: -7.677 eV per atom